# CeCo2Sn4

A relaxed structure of CeCo2Sn4 (PBE, the Alexandria database).

Geometry as CIF:
```
data_CeCo2Sn4
_symmetry_space_group_name_H-M 'P 1'
_symmetry_Int_Tables_number 1
_cell_length_a 18.3080
_cell_length_b 4.4098
_cell_length_c 7.0381
_cell_angle_alpha 90.00
_cell_angle_beta 90.00
_cell_angle_gamma 90.00
loop_
_symmetry_equiv_pos_as_xyz
'x,y,z'
loop_
_atom_site_label
_atom_site_type_symbol
_atom_site_fract_x
_atom_site_fract_y
_atom_site_fract_z
_atom_site_occupancy
Ce1 Ce 0.1399 0.2500 0.0051 1
Ce2 Ce 0.3601 0.7500 0.5051 1
Ce3 Ce 0.6399 0.2500 0.4949 1
Ce4 Ce 0.8601 0.7500 0.9949 1
Co1 Co 0.0355 0.7500 0.7511 1
Co2 Co 0.2131 0.2500 0.4847 1
Co3 Co 0.2869 0.7500 0.9847 1
Co4 Co 0.4645 0.2500 0.2511 1
Co5 Co 0.5355 0.7500 0.7489 1
Co6 Co 0.7131 0.2500 0.0153 1
Co7 Co 0.7869 0.7500 0.5153 1
Co8 Co 0.9645 0.2500 0.2489 1
Sn1 Sn 0.0289 0.7500 0.1388 1
Sn2 Sn 0.0694 0.2500 0.5088 1
Sn3 Sn 0.1810 0.7500 0.7012 1
Sn4 Sn 0.1986 0.7500 0.2815 1
Sn5 Sn 0.3014 0.2500 0.7815 1
Sn6 Sn 0.3190 0.2500 0.2012 1
Sn7 Sn 0.4306 0.7500 0.0088 1
Sn8 Sn 0.4711 0.2500 0.6388 1
Sn9 Sn 0.5289 0.7500 0.3612 1
Sn10 Sn 0.5694 0.2500 0.9912 1
Sn11 Sn 0.6810 0.7500 0.7988 1
Sn12 Sn 0.6986 0.7500 0.2185 1
Sn13 Sn 0.8014 0.2500 0.7185 1
Sn14 Sn 0.8190 0.2500 0.2988 1
Sn15 Sn 0.9306 0.7500 0.4912 1
Sn16 Sn 0.9711 0.2500 0.8612 1
```

Summary:
Energy relative to the elements: -0.301 eV per atom
Magnetization: 2.3 μB/cell
Space-group type: Pnma, No. 62
Final energy: -5.47 eV/atom